The following is a DFT calculation (PBE-GGA) of an optimized crystal structure of YInSe3.

Structure (extended XYZ):
```
10
Lattice="-2.7983 2.7983 10.1886 2.7983 -2.7983 10.1886 2.7983 2.7983 -10.1886" Properties=species:S:1:pos:R:3 pbc="T T T"
Y 0.0000 0.0000 0.0000
Y 0.0000 2.7983 5.0943
In 2.7983 0.0000 3.3202
In 2.7983 0.0000 6.8684
Se 0.0000 0.0000 5.7302
Se 0.0000 1.5355 2.2353
Se 0.0000 0.0000 14.6471
Se 0.0000 4.0611 2.2353
Se -1.2628 2.7983 7.9534
Se 1.2628 2.7983 7.9534
```

Values from the calculation:
The calculation puts the offset from the most stable computed form at 0.4177 eV/atom. As for the density of states at the Fermi level: 3.77 states/eV per cell. The calculated volume comes out at 319.1 Å³ per cell. The value obtained for the size of the total moment is 0.00 μB per formula unit. The uncorrected formation energy is -74.8 kJ per mole of atoms.